TcTe: optimized geometry, GGA-PBE.

Lattice parameters (Å, degrees): 3.1924 3.9749 7.7474 89.20 89.11 76.66
Space group P1 (No. 1)
Asymmetric unit:
1 Tc 0.0000 0.0000 0.0000 x1
2 Tc 0.4957 0.4971 0.1429 x1
3 Te 0.1571 0.0818 0.3487 x1
4 Te 0.6743 0.5938 0.7942 x1

Summary:
- Crystal system: triclinic

Tc2Te: optimized geometry, GGA-PBE.

Lattice parameters (Å, degrees): 11.9296 3.0247 6.8702 90.00 119.39 90.00
Space group C2/m (No. 12)
Asymmetric unit:
1 Tc 0.0690 0.0000 0.2226 x4
2 Tc 0.1411 0.5000 0.9886 x4
3 Te 0.1685 0.5000 0.6204 x4

Summary:
- Crystal system: monoclinic

Tc3Te: optimized geometry, GGA-PBE.

Lattice parameters (Å, degrees): 3.9293 3.9293 8.2192 90.00 90.00 90.00
Space group I4/mmm (No. 139)
Asymmetric unit:
1 Tc 0.0000 0.0000 0.0000 x2
2 Tc 0.0000 0.5000 0.2500 x4
3 Te 0.0000 0.0000 0.5000 x2

Summary:
- Crystal system: tetragonal

Let's list formation energy from raw total energies in order: 0.15; 0.21; 0.41 eV per atom.
Let's list energy above the lowest structure with this stoichiometry in order: 82; 215; 102 meV per atom.